[1]
! LiSn4Ir, PBEsol geometry, DFT meta-GGA SCAN; values from VASP
&SYSTEM
  ibrav = 0, nat = 12, ntyp = 3
/
ATOMIC_SPECIES
Sn 118.71 Sn.upf
Ir 192.22 Ir.upf
Li 6.94 Li.upf
CELL_PARAMETERS angstrom
-5.142 2.086 -3.538
0.961 -7.260 0.443
-4.078 -3.279 3.992
ATOMIC_POSITIONS crystal
Sn 0.024 0.731 0.476
Sn 0.293 0.269 0.207
Sn 0.524 0.731 0.293
Sn 0.207 0.731 0.976
Sn 0.793 0.269 0.024
Sn 0.707 0.731 0.793
Sn 0.976 0.269 0.524
Sn 0.476 0.269 0.707
Ir 0.750 0.500 0.250
Ir 0.250 0.500 0.750
Li 0.000 0.000 0.000
Li 0.500 0.000 0.500
! **ρ**: 9.11 g cm⁻³
! **Total moment**: 0.00 μB/f.u.
! **Calculated formation energy**: -312 meV/atom

---

[2]
! TlInBr2, PBEsol geometry, DFT meta-GGA SCAN; values from VASP
&SYSTEM
  ibrav = 0, nat = 4, ntyp = 3
/
ATOMIC_SPECIES
In 114.82 In.upf
Br 79.90 Br.upf
Tl 204.38 Tl.upf
CELL_PARAMETERS angstrom
-3.179 -4.474 -0.244
1.967 -4.653 -2.160
1.060 -4.303 3.247
ATOMIC_POSITIONS crystal
In 0.000 0.500 0.500
Br 0.750 0.250 0.250
Br 0.250 0.750 0.750
Tl 0.500 0.000 0.000
! **Polymorph energy (0 for the lowest one)**: 3.4 kJ per mole of atoms
! **ρ**: 6.78 g cm⁻³
! **Total moment**: 0.00 μB/f.u.
! **Formation energy (no corrections)**: -3.05 eV per formula unit

---

[3]
! LiVF4, PBEsol geometry, DFT meta-GGA SCAN; values from VASP
&SYSTEM
  ibrav = 0, nat = 6, ntyp = 3
/
ATOMIC_SPECIES
Li 6.94 Li.upf
V 50.94 V.upf
F 19.00 F.upf
CELL_PARAMETERS angstrom
3.842 0.000 0.000
0.000 3.842 0.000
-1.921 -1.921 4.906
ATOMIC_POSITIONS crystal
Li 0.250 0.750 0.500
V 0.000 0.000 0.000
F 0.011 0.511 0.023
F 0.489 0.989 0.977
F 0.194 0.194 0.388
F 0.806 0.806 0.612
! **Polymorph energy (0 for the lowest one)**: 6.7 kJ per mole of atoms
! **ρ**: 3.07 g cm⁻³
! **Total moment**: 2.00 μB/f.u.
! **Formation energy (no corrections)**: -18.89 eV per formula unit

---

[4]
! AsPBr2, PBEsol geometry, DFT meta-GGA SCAN; values from VASP
&SYSTEM
  ibrav = 0, nat = 4, ntyp = 3
/
ATOMIC_SPECIES
As 74.92 As.upf
P 30.97 P.upf
Br 79.90 Br.upf
CELL_PARAMETERS angstrom
-0.088 2.675 -1.765
-3.095 1.229 2.017
3.880 2.892 4.192
ATOMIC_POSITIONS crystal
As 0.500 0.500 0.500
P 0.500 0.500 0.000
Br 0.000 0.000 0.753
Br 0.000 0.000 0.247
! **Polymorph energy (0 for the lowest one)**: 114.7 kJ per mole of atoms
! **ρ**: 5.52 g cm⁻³
! **Total moment**: 0.00 μB/f.u.
! **Formation energy (no corrections)**: 3.99 eV per formula unit

---

[5]
! LaP2RuS, PBEsol geometry, DFT meta-GGA SCAN; values from VASP
&SYSTEM
  ibrav = 0, nat = 5, ntyp = 4
/
ATOMIC_SPECIES
S 32.06 S.upf
P 30.97 P.upf
La 138.91 La.upf
Ru 101.07 Ru.upf
CELL_PARAMETERS angstrom
-0.408 -3.940 -3.460
5.152 0.021 -0.632
0.488 -3.438 3.858
ATOMIC_POSITIONS crystal
S 0.500 0.000 0.000
P 0.000 0.000 0.500
P 0.000 0.500 0.000
La 0.000 0.000 0.000
Ru 0.500 0.500 0.500
! **ρ**: 3.91 g cm⁻³
! **Total moment**: 2.99 μB/f.u.
! **Formation energy (no corrections)**: 6.43 eV per formula unit

---

[6]
! LaY, PBEsol geometry, DFT meta-GGA SCAN; values from VASP
&SYSTEM
  ibrav = 0, nat = 8, ntyp = 2
/
ATOMIC_SPECIES
La 138.91 La.upf
Y 88.91 Y.upf
CELL_PARAMETERS angstrom
-3.190 0.457 4.754
0.900 -6.136 1.194
5.948 1.619 3.836
ATOMIC_POSITIONS crystal
La 0.750 0.418 0.874
La 0.750 0.918 0.626
La 0.250 0.582 0.126
La 0.250 0.082 0.374
Y 0.250 0.085 0.876
Y 0.750 0.415 0.376
Y 0.750 0.915 0.124
Y 0.250 0.585 0.624
! **Polymorph energy (0 for the lowest one)**: 2.4 kJ per mole of atoms
! **ρ**: 5.75 g cm⁻³
! **Total moment**: 0.00 μB/f.u.
! **Calculated formation energy**: 39 meV/atom

---

[7]
! Mo2S3, PBEsol geometry, DFT meta-GGA SCAN; values from VASP
&SYSTEM
  ibrav = 0, nat = 10, ntyp = 2
/
ATOMIC_SPECIES
S 32.06 S.upf
Mo 95.94 Mo.upf
CELL_PARAMETERS angstrom
3.153 0.000 0.000
0.000 6.046 0.013
0.000 -1.895 8.322
ATOMIC_POSITIONS crystal
S 0.250 0.025 0.843
S 0.250 0.276 0.485
S 0.750 0.724 0.515
S 0.750 0.975 0.157
S 0.750 0.508 0.801
S 0.250 0.492 0.199
Mo 0.250 0.890 0.371
Mo 0.750 0.110 0.629
Mo 0.250 0.689 0.991
Mo 0.750 0.311 0.009
! **ρ**: 6.03 g cm⁻³
! **Total moment**: 0.00 μB/f.u.
! **Formation energy (no corrections)**: -3.82 eV per formula unit

---

[8]
! ScSiSnHg2, PBEsol geometry, DFT meta-GGA SCAN; values from VASP
&SYSTEM
  ibrav = 0, nat = 5, ntyp = 4
/
ATOMIC_SPECIES
Hg 200.59 Hg.upf
Sn 118.71 Sn.upf
Sc 44.96 Sc.upf
Si 28.09 Si.upf
CELL_PARAMETERS angstrom
-0.259 3.044 3.952
-4.789 -1.937 1.178
2.250 -3.728 3.019
ATOMIC_POSITIONS crystal
Hg 0.000 0.500 0.000
Hg 0.000 0.000 0.500
Sn 0.500 0.500 0.500
Sc 0.000 0.000 0.000
Si 0.500 0.000 0.000
! **ρ**: 7.02 g cm⁻³
! **Total moment**: 0.00 μB/f.u.
! **Formation energy (no corrections)**: 2.79 eV per formula unit

---

Question: Number 4 is which compound?
Answer: AsPBr2

---

Question: What is the formula in the sixth record?
Answer: LaY